<one>
Compound: Ce3Co3Si
Source: Alexandria
Functional: PBE
Structure: relaxed

Unit cell a=4.897 b=4.897 c=13.805 alpha=90.00 beta=90.00 gamma=129.42
Positions (direct):
Ce  0.005  0.995  0.750
Ce  0.292  0.708  0.104
Ce  0.292  0.708  0.396
Ce  0.708  0.292  0.604
Ce  0.708  0.292  0.896
Ce  0.995  0.005  0.250
Co  0.269  0.731  0.750
Co  0.446  0.554  0.589
Co  0.446  0.554  0.911
Co  0.554  0.446  0.089
Co  0.554  0.446  0.411
Co  0.731  0.269  0.250
Si  0.000  0.000  0.000
Si  0.000  0.000  0.500

Summary:
density of states at the Fermi level = 1.121 states/eV/atom
magnetic moment = 0.0 Bohr magnetons per cell
space-group type = No. 63
theoretical density = 8.12 g/cm3
volume = 18.27 A^3/atom

<two>
Compound: Ce3Co3Si
Source: Alexandria
Functional: PBE
Structure: relaxed

Unit cell a=5.732 b=5.732 c=5.732 alpha=111.78 beta=111.78 gamma=111.78
Positions (direct):
Ce  0.199  0.199  0.602
Ce  0.199  0.602  0.199
Ce  0.602  0.199  0.199
Co  0.114  0.689  0.689
Co  0.689  0.114  0.689
Co  0.689  0.689  0.114
Si  0.858  0.858  0.858

Summary:
density of states at the Fermi level = 1.617 states/eV/atom
magnetic moment = 0.0 Bohr magnetons per cell
space-group type = No. 160
theoretical density = 7.92 g/cm3
volume = 18.73 A^3/atom

Stability check: which of them is least stable? <two>.

<one>
Compound: CeSm2Co2
Source: Alexandria
Functional: PBE
Structure: relaxed

Unit cell a=6.066 b=6.066 c=7.018 alpha=97.78 beta=97.78 gamma=61.38
Positions (direct):
Ce  0.078  0.922  0.750
Ce  0.922  0.078  0.250
Sm  0.240  0.455  0.353
Sm  0.455  0.240  0.853
Sm  0.545  0.760  0.147
Sm  0.760  0.545  0.647
Co  0.001  0.696  0.982
Co  0.304  0.999  0.518
Co  0.696  0.001  0.482
Co  0.999  0.304  0.018

Summary:
density of states at the Fermi level = 1.167 states/eV/atom
magnetic moment = 0.0 Bohr magnetons per cell
space-group type = No. 15
theoretical density = 8.29 g/cm3
volume = 22.39 A^3/atom

<two>
Compound: CeSm2Co2
Source: Alexandria
Functional: PBE
Structure: relaxed

Unit cell a=6.768 b=6.768 c=11.271 alpha=122.27 beta=122.27 gamma=31.62
Positions (direct):
Ce  0.134  0.134  0.349
Ce  0.866  0.866  0.651
Sm  0.155  0.155  0.686
Sm  0.400  0.400  0.065
Sm  0.600  0.600  0.935
Sm  0.845  0.845  0.314
Co  0.107  0.107  0.137
Co  0.447  0.447  0.569
Co  0.553  0.553  0.431
Co  0.893  0.893  0.863

Summary:
density of states at the Fermi level = 1.033 states/eV/atom
magnetic moment = 0.0 Bohr magnetons per cell
space-group type = No. 12
theoretical density = 8.24 g/cm3
volume = 22.52 A^3/atom

Stability check: which of them is least stable? <two>.

<one>
Compound: Ce2SmCo
Source: Alexandria
Functional: PBE
Structure: relaxed

Unit cell a=9.157 b=9.157 c=9.157 alpha=23.51 beta=23.51 gamma=23.51
Positions (direct):
Ce  0.000  0.000  0.000
Ce  0.215  0.215  0.215
Sm  0.440  0.440  0.440
Co  0.607  0.607  0.607

Summary:
density of states at the Fermi level = 2.111 states/eV/atom
magnetic moment = 0.1 Bohr magnetons per cell
space-group type = No. 160
theoretical density = 7.57 g/cm3
volume = 26.83 A^3/atom

<two>
Compound: Ce2SmCo
Source: Alexandria
Functional: PBE
Structure: relaxed

Unit cell a=3.506 b=3.506 c=8.190 alpha=90.00 beta=90.00 gamma=90.00
Positions (direct):
Ce  0.000  0.000  0.174
Ce  0.000  0.000  0.826
Sm  0.500  0.500  0.500
Co  0.500  0.500  0.000

Summary:
density of states at the Fermi level = 2.456 states/eV/atom
magnetic moment = 0.0 Bohr magnetons per cell
space-group type = No. 123
theoretical density = 8.08 g/cm3
volume = 25.17 A^3/atom

Stability check: which of them is least stable? <two>.

<one>
Compound: Ce2SmCo
Source: Alexandria
Functional: PBE
Structure: relaxed

Unit cell a=9.314 b=9.314 c=9.314 alpha=22.82 beta=22.82 gamma=22.82
Positions (direct):
Ce  0.226  0.226  0.226
Ce  0.774  0.774  0.774
Sm  0.000  0.000  0.000
Co  0.500  0.500  0.500

Summary:
density of states at the Fermi level = 2.308 states/eV/atom
magnetic moment = 0.7 Bohr magnetons per cell
space-group type = No. 166
theoretical density = 7.62 g/cm3
volume = 26.65 A^3/atom

<two>
Compound: Ce2SmCo
Source: Alexandria
Functional: PBE
Structure: relaxed

Unit cell a=13.673 b=9.595 c=6.065 alpha=90.00 beta=90.00 gamma=90.00
Positions (direct):
Ce  0.038  0.063  0.242
Ce  0.038  0.437  0.242
Ce  0.212  0.568  0.925
Ce  0.212  0.932  0.925
Ce  0.288  0.068  0.425
Ce  0.288  0.432  0.425
Ce  0.462  0.563  0.742
Ce  0.462  0.937  0.742
Ce  0.538  0.063  0.258
Ce  0.538  0.437  0.258
Ce  0.712  0.568  0.575
Ce  0.712  0.932  0.575
Ce  0.788  0.068  0.075
Ce  0.788  0.432  0.075
Ce  0.962  0.563  0.758
Ce  0.962  0.937  0.758
Sm  0.102  0.250  0.740
Sm  0.145  0.750  0.441
Sm  0.355  0.250  0.941
Sm  0.398  0.750  0.240
Sm  0.602  0.250  0.760
Sm  0.645  0.750  0.059
Sm  0.855  0.250  0.559
Sm  0.898  0.750  0.260
Co  0.076  0.750  0.952
Co  0.171  0.250  0.236
Co  0.329  0.750  0.736
Co  0.424  0.250  0.452
Co  0.576  0.750  0.548
Co  0.671  0.250  0.264
Co  0.829  0.750  0.764
Co  0.924  0.250  0.048

Summary:
density of states at the Fermi level = 1.999 states/eV/atom
magnetic moment = 0.0 Bohr magnetons per cell
space-group type = No. 62
theoretical density = 8.17 g/cm3
volume = 24.87 A^3/atom

Stability check: which of them is least stable? <one>.

<one>
Compound: Ce3CoSn
Source: Alexandria
Functional: PBE
Structure: relaxed

Unit cell a=5.131 b=5.131 c=5.131 alpha=90.00 beta=90.00 gamma=90.00
Positions (direct):
Ce  0.000  0.000  0.500
Ce  0.000  0.500  0.000
Ce  0.500  0.000  0.000
Co  0.000  0.000  0.000
Sn  0.500  0.500  0.500

Summary:
density of states at the Fermi level = 2.984 states/eV/atom
magnetic moment = 2.3 Bohr magnetons per cell
space-group type = No. 221
theoretical density = 7.35 g/cm3
volume = 27.01 A^3/atom

<two>
Compound: Ce3CoSn
Source: Alexandria
Functional: PBE
Structure: relaxed

Unit cell a=4.793 b=6.030 c=9.528 alpha=91.15 beta=103.86 gamma=110.74
Positions (direct):
Ce  0.034  0.381  0.177
Ce  0.192  0.293  0.559
Ce  0.358  0.045  0.235
Ce  0.642  0.955  0.765
Ce  0.808  0.707  0.441
Ce  0.966  0.619  0.823
Co  0.332  0.767  0.457
Co  0.668  0.233  0.543
Sn  0.346  0.253  0.917
Sn  0.654  0.747  0.083

Summary:
density of states at the Fermi level = 2.251 states/eV/atom
magnetic moment = 2.9 Bohr magnetons per cell
space-group type = No. 2
theoretical density = 8.00 g/cm3
volume = 24.83 A^3/atom

<three>
Compound: Ce3CoSn
Source: Alexandria
Functional: PBE
Structure: relaxed

Unit cell a=8.105 b=8.105 c=8.105 alpha=138.65 beta=130.01 gamma=66.83
Positions (direct):
Ce  0.159  0.409  0.750
Ce  0.170  0.147  0.022
Ce  0.375  0.853  0.522
Ce  0.625  0.147  0.478
Ce  0.830  0.853  0.978
Ce  0.841  0.591  0.250
Co  0.219  0.969  0.250
Co  0.781  0.031  0.750
Sn  0.390  0.640  0.750
Sn  0.610  0.360  0.250

Summary:
density of states at the Fermi level = 2.749 states/eV/atom
magnetic moment = 3.9 Bohr magnetons per cell
space-group type = No. 74
theoretical density = 7.49 g/cm3
volume = 26.53 A^3/atom

Stability check: which of them is least stable? <three>.

<one>
Compound: TbCe2Co2
Source: Alexandria
Functional: PBE
Structure: relaxed

Unit cell a=7.881 b=7.881 c=9.525 alpha=124.56 beta=124.56 gamma=26.76
Positions (direct):
Tb  0.154  0.154  0.315
Tb  0.846  0.846  0.685
Ce  0.138  0.138  0.664
Ce  0.411  0.411  0.066
Ce  0.589  0.589  0.934
Ce  0.862  0.862  0.336
Co  0.224  0.224  0.069
Co  0.445  0.445  0.568
Co  0.555  0.555  0.432
Co  0.776  0.776  0.931

Summary:
density of states at the Fermi level = 1.435 states/eV/atom
magnetic moment = 0.0 Bohr magnetons per cell
space-group type = No. 12
theoretical density = 8.55 g/cm3
volume = 21.64 A^3/atom

<two>
Compound: TbCe2Co2
Source: Alexandria
Functional: PBE
Structure: relaxed

Unit cell a=5.003 b=5.003 c=5.326 alpha=118.36 beta=118.36 gamma=80.80
Positions (direct):
Tb  0.000  0.000  0.000
Ce  0.272  0.728  0.500
Ce  0.728  0.272  0.500
Co  0.307  0.307  0.798
Co  0.693  0.693  0.202

Summary:
density of states at the Fermi level = 1.481 states/eV/atom
magnetic moment = 0.0 Bohr magnetons per cell
space-group type = No. 12
theoretical density = 8.99 g/cm3
volume = 20.57 A^3/atom

Stability check: which of them is least stable? <two>.